# 1
Density functional theory data (GGA-PBE) for a relaxed LaTm4Ga4 crystal.

Properties
formation energy: -348.2 meV/atom
magnetization: 0.00 μB/f.u.

Unit cell a=9.279 b=9.279 c=5.797 alpha=90.00 beta=90.00 gamma=90.00
Space group P4_2/n (No. 86, origin choice 2)
Asymmetric unit:
La: 0.250 0.250 0.250 (multiplicity 2)
Tm: 0.086 0.651 0.132 (multiplicity 8)
Ga: 0.036 0.605 0.632 (multiplicity 8)

---

# 2
Density functional theory data (GGA-PBE) for a relaxed BeAlSe crystal.

Properties
magnetization: 0.00 μB/f.u.
offset from the most stable computed form: 410 meV/atom

Unit cell a=3.171 b=3.171 c=10.757 alpha=90.00 beta=90.00 gamma=90.00
Space group I4mm (No. 107)
Asymmetric unit:
Be: 0.000 0.000 0.000 (multiplicity 2)
Al: 0.000 0.000 0.671 (multiplicity 2)
Se: 0.000 0.000 0.430 (multiplicity 2)